ZnSiBr2 | GGA-PBEsol | relaxed

Results
V   90 Å³/cell
Raw total energy   -10.2 eV for the cell shown

Structure (POSCAR):
```
ZnSiBr2
1.0
-1.870 -2.765 -0.390
1.902 -0.660 -4.442
4.028 -3.031 2.175
Si Br Zn
1 2 1
Direct
0.500 0.500 0.000
0.500 0.500 0.500
0.000 0.000 0.000
0.000 0.000 0.500
```